(1)
First-principles (GGA-PBE) data for ZrCoRh2 after structural relaxation, as listed in Alexandria via LeMat-Bulk.

Results
For the formation enthalpy at 0 K, the calculation gives -0.23 eV per atom. As for the density of states at the Fermi level: 5.494 states/eV/cell. The calculated total energy is -31.29 eV/cell.

The structure in POSCAR format:
```
ZrCoRh2
1.0
-1.9748 1.7581 -1.9414
1.5437 -1.1822 -2.6418
-3.6795 -4.3551 -0.2011
Co Rh Zr
1 2 1
direct
0.5000 0.5000 0.7873 Co
0.0000 0.0000 0.9621 Rh
0.5000 0.5000 0.2452 Rh
0.0000 0.0000 0.5054 Zr
```


(2)
First-principles (GGA-PBE) data for CeCu9Ni3 after structural relaxation, as listed in Alexandria via LeMat-Bulk.

Results
For the formation enthalpy at 0 K, the calculation gives -0.08 eV per atom. As for the density of states at the Fermi level: 9.708 states/eV/cell. The calculated total energy is -61.21 eV/cell.

The structure in POSCAR format:
```
CeCu9Ni3
1.0
-3.8693 -2.2395 -1.9184
1.5632 -4.9834 -3.8360
-2.1324 -4.7591 3.6881
Ce Cu Ni
1 9 3
direct
0.0000 0.0000 0.0000 Ce
0.7248 0.7768 0.7757 Cu
0.2752 0.2232 0.2243 Cu
0.4995 0.2232 0.7757 Cu
0.5005 0.7768 0.2243 Cu
0.6346 0.3511 0.3557 Cu
0.3654 0.6489 0.6443 Cu
0.0097 0.6489 0.3557 Cu
0.9903 0.3511 0.6443 Cu
0.0000 0.5000 0.0000 Cu
0.5000 0.5000 0.0000 Ni
0.0000 0.0000 0.5000 Ni
0.5000 0.0000 0.5000 Ni
```


(3)
First-principles (GGA-PBE) data for CoSi3Cl after structural relaxation, as listed in Alexandria via LeMat-Bulk.

Results
As for the energy above the most stable polymorph in this dataset: 0.0 meV per atom. As for the density of states at the Fermi level: 2.792 states/eV/cell. The calculated total energy is -24.51 eV/cell.

The structure in POSCAR format:
```
CoSi3Cl
1.0
-2.6768 -2.4128 2.5193
-0.9135 -2.5798 -3.4414
3.3666 -2.6184 1.0693
Si Co Cl
3 1 1
direct
0.0000 0.5000 0.0000 Si
0.0000 0.0000 0.5000 Si
0.5000 0.0000 0.0000 Si
0.0000 0.0000 0.0000 Co
0.5000 0.5000 0.5000 Cl
```


(4)
First-principles (GGA-PBE) data for PuScMnCo after structural relaxation, as listed in Alexandria via LeMat-Bulk.

Results
For the formation enthalpy at 0 K, the calculation gives -0.06 eV per atom. As for the density of states at the Fermi level: 4.829 states/eV/cell. The calculated total energy is -37.18 eV/cell.

The structure in POSCAR format:
```
PuScMnCo
1.0
4.5715 0.0000 0.0000
2.2857 3.9590 0.0000
2.2857 1.3197 3.7326
Sc Mn Co Pu
1 1 1 1
direct
0.0000 0.0000 0.0000 Sc
0.2500 0.2500 0.2500 Mn
0.7500 0.7500 0.7500 Co
0.5000 0.5000 0.5000 Pu
```


(5)
First-principles (GGA-PBE) data for NiSeSN after structural relaxation, as listed in Alexandria via LeMat-Bulk.

Results
As for the energy above the most stable polymorph in this dataset: 5.9 meV per atom. As for the density of states at the Fermi level: 2.658 states/eV/cell. The calculated total energy is -20.89 eV/cell.

The structure in POSCAR format:
```
NiSeSN
1.0
2.8870 0.0001 -0.0072
-1.4421 3.7195 0.0030
-1.4332 -1.2638 6.2547
Ni Se S N
1 1 1 1
direct
0.5029 0.4751 0.3556 Ni
0.3436 0.9272 0.5842 Se
0.5338 0.8190 0.0737 S
0.7953 0.2149 0.2008 N
```


(6)
First-principles (GGA-PBE) data for NaInAgIr after structural relaxation, as listed in Alexandria via LeMat-Bulk.

Results
For the formation enthalpy at 0 K, the calculation gives 0.09 eV per atom. As for the density of states at the Fermi level: 1.277 states/eV/cell. The calculated total energy is -15.42 eV/cell.

The structure in POSCAR format:
```
NaInAgIr
1.0
4.6891 0.0000 0.0000
2.3446 4.0609 0.0000
2.3446 1.3536 3.8287
Na Ir Ag In
1 1 1 1
direct
0.7500 0.7500 0.7500 Na
0.2500 0.2500 0.2500 Ir
0.0000 0.0000 0.0000 Ag
0.5000 0.5000 0.5000 In
```


(7)
First-principles (GGA-PBE) data for ScPdI2O after structural relaxation, as listed in Alexandria via LeMat-Bulk.

Results
As for the energy above the most stable polymorph in this dataset: 0.0 meV per atom. As for the density of states at the Fermi level: 4.607 states/eV/cell. The calculated total energy is -23.94 eV/cell.

The structure in POSCAR format:
```
ScPdI2O
1.0
-0.9232 4.8185 3.2055
-1.9273 -3.3167 4.4306
3.5722 -0.2332 1.3793
I Sc O Pd
2 1 1 1
direct
0.0000 0.5000 0.0000 I
0.5000 0.0000 0.0000 I
0.0000 0.0000 0.0000 Sc
0.0000 0.0000 0.5000 O
0.5000 0.5000 0.5000 Pd
```


(8)
First-principles (GGA-PBE) data for Pr5In2Rh after structural relaxation, as listed in Alexandria via LeMat-Bulk.

Results
For the formation enthalpy at 0 K, the calculation gives -0.44 eV per atom. As for the density of states at the Fermi level: 13.167 states/eV/cell. The calculated total energy is -80.55 eV/cell.

The structure in POSCAR format:
```
Pr5In2Rh
1.0
4.9245 0.0000 0.0000
0.0000 7.9543 0.0000
0.0000 0.0000 12.5999
Pr In Rh
10 4 2
direct
0.0000 0.0000 0.5000 Pr
0.0000 0.5000 0.0000 Pr
0.0000 0.8685 0.2049 Pr
0.0000 0.1315 0.7951 Pr
0.0000 0.6315 0.7049 Pr
0.0000 0.3685 0.2951 Pr
0.5000 0.6842 0.4262 Pr
0.5000 0.3158 0.5738 Pr
0.5000 0.8158 0.9262 Pr
0.5000 0.1842 0.0738 Pr
0.5000 0.5820 0.1665 In
0.5000 0.4180 0.8335 In
0.5000 0.9180 0.6665 In
0.5000 0.0820 0.3335 In
0.0000 0.5000 0.5000 Rh
0.0000 0.0000 0.0000 Rh
```


| no. | magnetization (μB per formula unit) |
| --- | --- |
| 1 | 0.62 |
| 2 | 0.29 |
| 3 | 0.00 |
| 4 | 2.41 |
| 5 | 0.00 |
| 6 | 0.00 |
| 7 | 0.87 |
| 8 | 0.00 |